--- 1 ---
EuTh3 PBE-GGA relaxed; Fermi-level density of states = 1.846 states/eV/atom; symmetry = I4/mmm (139); M_tot = 1.702 μB per atom
1.0
-2.542 2.542 5.103
2.542 -2.542 5.103
2.542 2.542 -5.103
Eu Th
1 3
Cartesian
0.000 0.000 0.000
2.542 0.000 2.551
0.000 0.000 5.103
0.000 2.542 2.551

--- 2 ---
EuTh3 PBE-GGA relaxed; Fermi-level density of states = 1.532 states/eV/atom; symmetry = Imm2 (44); M_tot = 1.778 μB per atom
1.0
-1.789 5.960 3.130
1.789 -5.960 3.130
1.789 5.960 -3.130
Eu Th
1 3
Cartesian
0.000 0.000 0.000
1.789 3.040 -1.030
0.000 5.960 0.008
0.000 2.920 2.100

Most stable one: 2, least stable one: 1.

--- 1 ---
EuTh3 PBE-GGA relaxed; Fermi-level density of states = 1.443 states/eV/atom; symmetry = Pmm2 (25); M_tot = 1.776 μB per atom
1.0
3.569 0.000 0.000
0.000 5.964 0.000
0.000 0.000 6.280
Eu Th
1 3
Cartesian
0.000 0.000 0.000
0.000 2.982 2.035
1.785 0.000 3.100
1.785 2.982 5.037

--- 2 ---
EuTh3 PBE-GGA relaxed; Fermi-level density of states = 1.619 states/eV/atom; symmetry = Pm-3m (221); M_tot = 1.678 μB per atom
1.0
5.085 0.000 0.000
0.000 5.085 0.000
0.000 0.000 5.085
Eu Th
1 3
Cartesian
0.000 0.000 0.000
0.000 2.543 2.543
2.543 0.000 2.543
2.543 2.543 0.000

--- 3 ---
EuTh3 PBE-GGA relaxed; Fermi-level density of states = 1.610 states/eV/atom; symmetry = P6_3/mmc (194); M_tot = 1.710 μB per atom
1.0
7.191 0.000 0.000
-3.595 6.227 0.000
0.000 0.000 5.970
Eu Th
2 6
Cartesian
0.000 4.151 1.492
3.595 2.076 4.477
0.000 2.042 4.477
-1.827 5.206 4.477
1.768 1.021 1.492
1.827 5.206 4.477
5.422 1.021 1.492
3.595 4.185 1.492

Most stable one: 1, least stable one: 3.

--- 1 ---
EuTh2 PBE-GGA relaxed; Fermi-level density of states = 2.845 states/eV/atom; symmetry = Fd-3m (227); M_tot = 2.381 μB per atom
1.0
0.000 4.796 4.796
4.796 0.000 4.796
4.796 4.796 0.000
Eu Th
2 4
Cartesian
1.199 1.199 1.199
8.394 8.394 8.394
4.796 2.398 2.398
2.398 4.796 2.398
2.398 2.398 4.796
4.796 4.796 4.796

--- 2 ---
EuTh2 PBE-GGA relaxed; Fermi-level density of states = 1.361 states/eV/atom; symmetry = I4/mmm (139); M_tot = 2.652 μB per atom
1.0
-1.796 1.796 7.972
1.796 -1.796 7.972
1.796 1.796 -7.972
Eu Th
1 2
Cartesian
0.000 0.000 0.000
0.000 0.000 5.195
0.000 0.000 10.750

Most stable one: 2, least stable one: 1.

--- 1 ---
EuThTl PBE-GGA relaxed; Fermi-level density of states = 1.514 states/eV/atom; symmetry = I4mm (107); M_tot = 2.484 μB per atom
1.0
-1.807 1.807 7.418
1.807 -1.807 7.418
1.807 1.807 -7.418
Eu Th Tl
1 1 1
Cartesian
0.000 0.000 0.000
0.000 0.000 4.559
0.000 0.000 9.688

--- 2 ---
EuThTl PBE-GGA relaxed; Fermi-level density of states = 0.964 states/eV/atom; symmetry = P3m1 (156); M_tot = 2.542 μB per atom
1.0
5.519 0.000 0.000
-2.759 4.779 0.000
0.000 0.000 3.651
Eu Th Tl
1 1 1
Cartesian
0.000 0.000 0.000
2.759 1.593 2.022
0.000 3.186 1.344

Most stable one: 1, least stable one: 2.

--- 1 ---
EuThZn PBE-GGA relaxed; Fermi-level density of states = 1.121 states/eV/atom; symmetry = P3m1 (156); M_tot = 2.369 μB per atom
1.0
5.187 0.000 0.000
-2.594 4.492 0.000
0.000 0.000 3.524
Eu Th Zn
1 1 1
Cartesian
0.000 0.000 0.000
0.000 2.995 2.074
2.594 1.497 1.097

--- 2 ---
EuThZn PBE-GGA relaxed; Fermi-level density of states = 0.990 states/eV/atom; symmetry = I4mm (107); M_tot = 2.526 μB per atom
1.0
-1.839 1.839 6.431
1.839 -1.839 6.431
1.839 1.839 -6.431
Eu Th Zn
1 1 1
Cartesian
0.000 0.000 0.000
0.000 0.000 3.704
0.000 0.000 8.369

Most stable one: 2, least stable one: 1.

--- 1 ---
EuTm2Tl PBE-GGA relaxed; Fermi-level density of states = 0.965 states/eV/atom; symmetry = P4/mmm (123); M_tot = 1.903 μB per atom
1.0
4.929 0.000 0.000
0.000 4.929 0.000
0.000 0.000 4.788
Eu Tm Tl
1 2 1
Cartesian
0.000 0.000 0.000
0.000 2.464 2.394
2.464 0.000 2.394
2.464 2.464 0.000

--- 2 ---
EuTm2Tl PBE-GGA relaxed; Fermi-level density of states = 0.985 states/eV/atom; symmetry = P4/mmm (123); M_tot = 1.867 μB per atom
1.0
3.635 0.000 0.000
0.000 3.635 0.000
0.000 0.000 9.342
Eu Tm Tl
1 2 1
Cartesian
0.000 0.000 0.000
1.818 1.818 2.685
1.818 1.818 6.657
0.000 0.000 4.671

Most stable one: 1, least stable one: 2.

--- 1 ---
EuYTl2 PBE-GGA relaxed; Fermi-level density of states = 2.257 states/eV/atom; symmetry = Fm-3m (225); M_tot = 1.828 μB per atom
1.0
0.000 3.886 3.886
3.886 0.000 3.886
3.886 3.886 0.000
Eu Y Tl
1 1 2
Cartesian
0.000 0.000 0.000
3.886 3.886 3.886
1.943 1.943 1.943
5.828 5.828 5.828

--- 2 ---
EuYTl2 PBE-GGA relaxed; Fermi-level density of states = 2.218 states/eV/atom; symmetry = P4/mmm (123); M_tot = 1.787 μB per atom
1.0
3.888 0.000 0.000
0.000 3.888 0.000
0.000 0.000 7.779
Eu Y Tl
1 1 2
Cartesian
0.000 0.000 0.000
0.000 0.000 3.889
1.944 1.944 2.077
1.944 1.944 5.702

Most stable one: 2, least stable one: 1.

--- 1 ---
EuTm3 PBE-GGA relaxed; Fermi-level density of states = 1.636 states/eV/atom; symmetry = Imm2 (44); M_tot = 1.895 μB per atom
1.0
-1.797 5.709 3.122
1.797 -5.709 3.122
1.797 5.709 -3.122
Eu Tm
1 3
Cartesian
0.000 0.000 0.000
1.797 2.927 1.009
1.797 0.000 3.102
0.000 2.782 4.131

--- 2 ---
EuTm3 PBE-GGA relaxed; Fermi-level density of states = 1.932 states/eV/atom; symmetry = Fm-3m (225); M_tot = 1.997 μB per atom
1.0
0.000 4.007 4.007
4.007 0.000 4.007
4.007 4.007 0.000
Eu Tm
1 3
Cartesian
0.000 0.000 0.000
2.003 2.003 2.003
4.007 4.007 4.007
6.010 6.010 6.010

--- 3 ---
EuTm3 PBE-GGA relaxed; Fermi-level density of states = 1.624 states/eV/atom; symmetry = I4/mmm (139); M_tot = 1.817 μB per atom
1.0
-2.517 2.517 5.013
2.517 -2.517 5.013
2.517 2.517 -5.013
Eu Tm
1 3
Cartesian
0.000 0.000 0.000
2.517 0.000 2.506
0.000 0.000 5.013
0.000 2.517 2.506

Most stable one: 1, least stable one: 2.